The following is a DFT calculation (PBE+U) of a geometry-optimized MnF3 structure.

It has space group I-42d (No. 122), with a = 5.025 Å, b = 5.025 Å, c = 11.436 Å, α = 90.00°, β = 90.00° and γ = 90.00°. The inequivalent atoms are Mn at (0.000, 0.000, 0.000), F at (0.000, 0.000, 0.500) and F at (0.073, 0.250, 0.125).

Its density of states at the Fermi level is 1.32 states/eV per atom. Its magnetic moment is 16.00 μB per cell. As for the energy: -5.000 eV per atom.